This record from the Alexandria database describes crystalline CdSi2SnW at its relaxed geometry. The functional is GGA-PBE.

Values from the calculation:
For the total magnetization, the calculation gives 0.00 μB/cell. The electronic total energy is -5.07 eV per atom. The symmetry is P4/mmm. The density of states at the Fermi level is 3.13 states/eV/f.u.

a = 4.7618 Å, b = 4.7618 Å, c = 5.3846 Å
α = 90.00°, β = 90.00°, γ = 90.00°
Closest atoms and distances in Å follow each position.
Fractional positions:
Cd1 0.0000 0.0000 0.0000  2 W 2.69
Si1 0.0000 0.5000 0.5000  2 W 2.38
Si2 0.5000 0.0000 0.5000  2 W 2.38
Sn1 0.5000 0.5000 0.0000  4 Cd 3.37, 8 Si 3.59
W1 0.0000 0.0000 0.5000  4 Si 2.38